Arrangement 1

Computed, not measured: a relaxed structure of TaTl2Tc at the PBE level of DFT.

Unit cell a=7.729 b=7.729 c=6.185 alpha=51.33 beta=51.33 gamma=90.00
Site moments in Bohr magnetons follow the coordinates.
Positions (direct):
Tl  0.375  0.385  0.750  0.00
Tl  0.615  0.125  0.250  0.01
Ta  0.750  0.250  0.500  -0.06
Tc  0.500  0.500  0.000  1.55
Tl  0.135  0.625  0.250  0.00
Tc  0.250  0.750  0.500  1.54
Tl  0.875  0.865  0.750  0.00
Ta  0.000  0.000  0.000  -0.06

- D(E_F): 2.961 states/eV/f.u.

Arrangement 2

Computed, not measured: a relaxed structure of TaTl2Tc at the PBE level of DFT.

Unit cell a=3.059 b=4.348 c=5.966 alpha=90.00 beta=90.00 gamma=90.00
Site moments in Bohr magnetons follow the coordinates.
Positions (direct):
Tl  0.000  0.000  0.994  0.00
Tl  0.000  0.000  0.506  0.00
Tc  0.500  0.500  0.750  1.36
Ta  0.500  0.500  0.250  0.04

- D(E_F): 2.944 states/eV/f.u.

Arrangement 3

Computed, not measured: a relaxed structure of TaTl2Tc at the PBE level of DFT.

Unit cell a=5.704 b=5.704 c=5.704 alpha=146.98 beta=127.48 gamma=63.45
Positions (direct):
Tc  0.250  0.750  0.500
Ta  0.750  0.250  0.500
Tl  0.010  0.010  0.000
Tl  0.490  0.490  0.000

- D(E_F): 2.955 states/eV/f.u.

The most stable of them is arrangement 3.

Arrangement 1

Computed, not measured: a relaxed structure of TaTl2Tc at the PBE level of DFT.

Unit cell a=5.169 b=5.169 c=4.947 alpha=78.74 beta=78.74 gamma=37.57
Positions (direct):
Tl  0.006  0.006  0.993
Ta  0.250  0.250  0.250
Tl  0.494  0.494  0.507
Tc  0.750  0.750  0.750

- D(E_F): 2.839 states/eV/f.u.

Arrangement 2

Computed, not measured: a relaxed structure of TaTl2Tc at the PBE level of DFT.

Unit cell a=5.258 b=5.258 c=5.258 alpha=132.29 beta=132.29 gamma=69.76
Positions (direct):
Tl  0.000  0.000  0.000
Tc  0.750  0.250  0.500
Ta  0.500  0.500  0.000
Tl  0.250  0.750  0.500

- D(E_F): 4.129 states/eV/f.u.

The most stable of them is arrangement 1.

Arrangement 1

Computed, not measured: a relaxed structure of TaTl2Tc at the PBE level of DFT.

Unit cell a=3.225 b=3.224 c=8.650 alpha=79.24 beta=90.00 gamma=90.00
Positions (direct):
Ta  0.000  0.410  0.554
Tc  0.500  0.834  0.707
Tl  0.500  0.044  0.289
Tl  0.000  0.212  0.950

- D(E_F): 2.230 states/eV/f.u.

Arrangement 2

Computed, not measured: a relaxed structure of TaTl2Tc at the PBE level of DFT.

Unit cell a=3.046 b=3.046 c=8.553 alpha=90.00 beta=90.00 gamma=90.00
Site moments in Bohr magnetons follow the coordinates.
Positions (direct):
Tl  0.000  0.000  0.988  -0.01
Ta  0.500  0.500  0.250  0.02
Tl  0.000  0.000  0.512  -0.01
Tc  0.500  0.500  0.750  1.66

- D(E_F): 2.878 states/eV/f.u.

The most stable of them is arrangement 1.